#w
# Ba2TlZnPt | Alexandria via LeMat-Bulk | PBE | optimized geometry
# density of states at the Fermi level	0.794	states/eV per atom
data_Ba2TlZnPt
_chemical_formula_sum 'Ba2 Tl1 Zn1 Pt1'
_cell_length_a 6.134
_cell_length_b 6.134
_cell_length_c 4.921
_cell_angle_alpha 90.00
_cell_angle_beta 90.00
_cell_angle_gamma 90.00
_space_group_name_H-M_alt 'P 4/m m m'
_space_group_IT_number 123
_space_group_name_Hall '-P 4 2'
loop_
_atom_site_label
_atom_site_fract_x
_atom_site_fract_y
_atom_site_fract_z
Ba1 0.000 0.500 0.000
Tl1 0.000 0.000 0.500
Zn1 0.500 0.500 0.500
Pt1 0.500 0.500 0.000

#x
# Ba2TlZnPt | Alexandria via LeMat-Bulk | PBE | optimized geometry
# density of states at the Fermi level	0.676	states/eV per atom
data_Ba2TlZnPt
_chemical_formula_sum 'Ba2 Tl1 Zn1 Pt1'
_cell_length_a 6.168
_cell_length_b 6.168
_cell_length_c 5.260
_cell_angle_alpha 90.00
_cell_angle_beta 90.00
_cell_angle_gamma 90.00
_space_group_name_H-M_alt 'P 4/m m m'
_space_group_IT_number 123
_space_group_name_Hall '-P 4 2'
loop_
_atom_site_label
_atom_site_fract_x
_atom_site_fract_y
_atom_site_fract_z
Ba1 0.000 0.500 0.000
Tl1 0.000 0.000 0.500
Zn1 0.500 0.500 0.500
Pt1 0.000 0.000 0.000

Most stable to least stable, the ends of the list are #w and #x.

#w
# BaTmPt | Alexandria via LeMat-Bulk | PBE | optimized geometry
# density of states at the Fermi level	0.904	states/eV per atom
data_BaTmPt
_chemical_formula_sum 'Ba2 Tm2 Pt2'
_cell_length_a 3.688
_cell_length_b 3.688
_cell_length_c 13.598
_cell_angle_alpha 90.00
_cell_angle_beta 90.00
_cell_angle_gamma 90.00
_space_group_name_H-M_alt 'I 4 m m'
_space_group_IT_number 107
_space_group_name_Hall 'I 4 -2'
loop_
_atom_site_label
_atom_site_fract_x
_atom_site_fract_y
_atom_site_fract_z
Ba1 0.000 0.000 0.000
Tm1 0.000 0.000 0.256
Pt1 0.000 0.000 0.668

#x
# BaTmPt | Alexandria via LeMat-Bulk | PBE | optimized geometry
# density of states at the Fermi level	1.270	states/eV per atom
data_BaTmPt
_chemical_formula_sum 'Ba2 Tm2 Pt2'
_cell_length_a 4.928
_cell_length_b 4.928
_cell_length_c 7.703
_cell_angle_alpha 90.00
_cell_angle_beta 90.00
_cell_angle_gamma 90.00
_space_group_name_H-M_alt 'P 4/n m m'
_space_group_IT_number 129
loop_
_space_group_symop_operation_xyz
'x,y,z'
'-x,-y,-z'
'-y+1/2,x,z'
'y+1/2,-x,-z'
'-x+1/2,-y+1/2,z'
'x+1/2,y+1/2,-z'
'y,-x+1/2,z'
'-y,x+1/2,-z'
'x+1/2,-y,-z'
'-x+1/2,y,z'
'-y,-x,-z'
'y,x,z'
'-x,y+1/2,-z'
'x,-y+1/2,z'
'y+1/2,x+1/2,-z'
'-y+1/2,-x+1/2,z'
loop_
_atom_site_label
_atom_site_fract_x
_atom_site_fract_y
_atom_site_fract_z
Ba1 0.250 0.250 0.125
Tm1 0.250 0.750 0.500
Pt1 0.250 0.250 0.684

Most stable to least stable, the ends of the list are #x and #w.

#w
# Ba2VPt | Alexandria via LeMat-Bulk | PBE | optimized geometry
# density of states at the Fermi level	1.199	states/eV per atom
data_Ba2VPt
_chemical_formula_sum 'Ba8 V4 Pt4'
_cell_length_a 9.025
_cell_length_b 9.025
_cell_length_c 6.668
_cell_angle_alpha 90.00
_cell_angle_beta 90.00
_cell_angle_gamma 90.00
_space_group_name_H-M_alt 'I -4 2 d'
_space_group_IT_number 122
_space_group_name_Hall 'I -4 2bw'
loop_
_atom_site_label
_atom_site_fract_x
_atom_site_fract_y
_atom_site_fract_z
Ba1 0.201 0.250 0.125
V1 0.000 0.000 0.500
Pt1 0.000 0.000 0.000

#x
# Ba2VPt | Alexandria via LeMat-Bulk | PBE | optimized geometry
# density of states at the Fermi level	0.889	states/eV per atom
data_Ba2VPt
_chemical_formula_sum 'Ba8 V4 Pt4'
_cell_length_a 7.933
_cell_length_b 7.933
_cell_length_c 7.933
_cell_angle_alpha 90.00
_cell_angle_beta 90.00
_cell_angle_gamma 90.00
_space_group_name_H-M_alt 'F m -3 m'
_space_group_IT_number 225
_space_group_name_Hall '-F 4 2 3'
loop_
_atom_site_label
_atom_site_fract_x
_atom_site_fract_y
_atom_site_fract_z
Ba1 0.250 0.250 0.250
V1 0.000 0.000 0.000
Pt1 0.000 0.000 0.500

Most stable to least stable, the ends of the list are #x and #w.

#w
# BaV3Pt | Alexandria via LeMat-Bulk | PBE | optimized geometry
# density of states at the Fermi level	1.809	states/eV per atom
data_BaV3Pt
_chemical_formula_sum 'Ba1 V3 Pt1'
_cell_length_a 4.695
_cell_length_b 4.695
_cell_length_c 4.695
_cell_angle_alpha 90.00
_cell_angle_beta 90.00
_cell_angle_gamma 90.00
_space_group_name_H-M_alt 'P m -3 m'
_space_group_IT_number 221
_space_group_name_Hall '-P 4 2 3'
loop_
_atom_site_label
_atom_site_fract_x
_atom_site_fract_y
_atom_site_fract_z
Ba1 0.000 0.000 0.000
V1 0.000 0.000 0.500
Pt1 0.500 0.500 0.500

#x
# BaV3Pt | Alexandria via LeMat-Bulk | PBE | optimized geometry
# density of states at the Fermi level	1.122	states/eV per atom
data_BaV3Pt
_chemical_formula_sum 'Ba1 V3 Pt1'
_cell_length_a 4.975
_cell_length_b 4.975
_cell_length_c 4.975
_cell_angle_alpha 90.00
_cell_angle_beta 90.00
_cell_angle_gamma 90.00
_space_group_name_H-M_alt 'P m -3 m'
_space_group_IT_number 221
_space_group_name_Hall '-P 4 2 3'
loop_
_atom_site_label
_atom_site_fract_x
_atom_site_fract_y
_atom_site_fract_z
Ba1 0.000 0.000 0.000
V1 0.000 0.500 0.500
Pt1 0.500 0.500 0.500

Most stable to least stable, the ends of the list are #x and #w.

#w
# Ba2PtW | Alexandria via LeMat-Bulk | PBE | optimized geometry
# density of states at the Fermi level	0.832	states/eV per atom
data_Ba2PtW
_chemical_formula_sum 'Ba4 Pt2 W2'
_cell_length_a 7.145
_cell_length_b 8.387
_cell_length_c 3.990
_cell_angle_alpha 90.00
_cell_angle_beta 90.00
_cell_angle_gamma 90.00
_space_group_name_H-M_alt 'C m m m'
_space_group_IT_number 65
_space_group_name_Hall '-C 2 2'
loop_
_atom_site_label
_atom_site_fract_x
_atom_site_fract_y
_atom_site_fract_z
Ba1 0.250 0.250 0.000
Pt1 0.000 0.000 0.500
W1 0.000 0.500 0.500

#x
# Ba2PtW | Alexandria via LeMat-Bulk | PBE | optimized geometry
# density of states at the Fermi level	0.895	states/eV per atom
data_Ba2PtW
_chemical_formula_sum 'Ba8 Pt4 W4'
_cell_length_a 7.651
_cell_length_b 7.651
_cell_length_c 7.651
_cell_angle_alpha 90.00
_cell_angle_beta 90.00
_cell_angle_gamma 90.00
_space_group_name_H-M_alt 'F -4 3 m'
_space_group_IT_number 216
_space_group_name_Hall 'F -4 2 3'
loop_
_atom_site_label
_atom_site_fract_x
_atom_site_fract_y
_atom_site_fract_z
Ba1 0.000 0.000 0.000
Ba2 0.250 0.250 0.250
Pt1 0.250 0.250 0.750
W1 0.000 0.000 0.500

Most stable to least stable, the ends of the list are #w and #x.

#w
# BaPt2W | Alexandria via LeMat-Bulk | PBE | optimized geometry
# density of states at the Fermi level	1.765	states/eV per atom
data_BaPt2W
_chemical_formula_sum 'Ba4 Pt8 W4'
_cell_length_a 7.020
_cell_length_b 7.020
_cell_length_c 7.020
_cell_angle_alpha 90.00
_cell_angle_beta 90.00
_cell_angle_gamma 90.00
_space_group_name_H-M_alt 'F m -3 m'
_space_group_IT_number 225
_space_group_name_Hall '-F 4 2 3'
loop_
_atom_site_label
_atom_site_fract_x
_atom_site_fract_y
_atom_site_fract_z
Ba1 0.000 0.000 0.000
Pt1 0.250 0.250 0.250
W1 0.000 0.000 0.500

#x
# BaPt2W | Alexandria via LeMat-Bulk | PBE | optimized geometry
# density of states at the Fermi level	1.216	states/eV per atom
data_BaPt2W
_chemical_formula_sum 'Ba2 Pt4 W2'
_cell_length_a 4.254
_cell_length_b 4.254
_cell_length_c 9.110
_cell_angle_alpha 90.00
_cell_angle_beta 90.00
_cell_angle_gamma 90.00
_space_group_name_H-M_alt 'I -4 m 2'
_space_group_IT_number 119
_space_group_name_Hall 'I -4 -2'
loop_
_atom_site_label
_atom_site_fract_x
_atom_site_fract_y
_atom_site_fract_z
Ba1 0.000 0.000 0.000
Pt1 0.000 0.000 0.500
Pt2 0.000 0.500 0.750
W1 0.000 0.500 0.250

Most stable to least stable, the ends of the list are #w and #x.